(1)
Compound: SmAg3Ge2
Source: Alexandria
Functional: GGA-PBE
Structure: relaxed

Lattice parameters (Å, degrees): 4.3258 7.7590 8.5823 118.54 104.60 90.00
Atoms (fractional coordinates):
1 Ge 0.5159 0.8636 0.0318
2 Ag 0.3908 0.4927 0.7816
3 Ag 0.0506 0.7114 0.1013
4 Ag 0.3127 0.0718 0.6255
5 Ag 0.9494 0.2886 0.8987
6 Sm 0.1435 0.2234 0.2871
7 Ge 0.7921 0.3195 0.5841
8 Ag 0.6092 0.5073 0.2184
9 Ge 0.2079 0.6805 0.4159
10 Ag 0.6872 0.9282 0.3745
11 Ge 0.4841 0.1364 0.9682
12 Sm 0.8565 0.7766 0.7129

Results
**Energy of formation from the pure elements**: -289 meV per atom
**Volume**: 20.20 A^3/atom
**N(E_F)**: 0.36 states/eV per atom
**Energy**: -4.040 eV/atom

(2)
Compound: SmAg3Ge3
Source: Alexandria
Functional: GGA-PBE
Structure: relaxed

Lattice parameters (Å, degrees): 7.0659 7.0659 7.0659 90.00 90.00 90.00
Atoms (fractional coordinates):
1 Ge 0.0000 0.5000 0.2500
2 Ag 0.0000 0.2500 0.5000
3 Ge 0.2500 0.0000 0.5000
4 Sm 0.5000 0.5000 0.5000
5 Ag 0.5000 0.0000 0.2500
6 Ag 0.7500 0.5000 0.0000
7 Ge 0.5000 0.7500 0.0000
8 Ag 0.2500 0.5000 0.0000
9 Ag 0.5000 0.0000 0.7500
10 Sm 0.0000 0.0000 0.0000
11 Ge 0.5000 0.2500 0.0000
12 Ge 0.7500 0.0000 0.5000
13 Ge 0.0000 0.5000 0.7500
14 Ag 0.0000 0.7500 0.5000

Results
**Energy of formation from the pure elements**: 319 meV per atom
**Volume**: 25.20 A^3/atom
**N(E_F)**: 0.54 states/eV per atom
**Energy**: -3.556 eV/atom

(3)
Compound: Sm2AgGe
Source: Alexandria
Functional: GGA-PBE
Structure: relaxed

Lattice parameters (Å, degrees): 4.4684 6.1371 8.0235 110.76 90.00 90.00
Atoms (fractional coordinates):
1 Sm 0.7500 0.2201 0.9312
2 Sm 0.7500 0.2067 0.4245
3 Ag 0.2500 0.3505 0.2153
4 Sm 0.2500 0.7933 0.5755
5 Sm 0.2500 0.7799 0.0688
6 Ag 0.7500 0.6495 0.7847
7 Ge 0.2500 0.3268 0.7087
8 Ge 0.7500 0.6732 0.2913

Results
**Energy of formation from the pure elements**: -543 meV per atom
**Volume**: 25.72 A^3/atom
**N(E_F)**: 0.92 states/eV per atom
**Energy**: -4.770 eV/atom

(4)
Compound: SmAgGe2
Source: Alexandria
Functional: GGA-PBE
Structure: relaxed

Lattice parameters (Å, degrees): 4.0215 7.9384 10.6623 90.00 90.00 90.00
Atoms (fractional coordinates):
1 Ge 0.7500 0.2460 0.0607
2 Ag 0.2500 0.9832 0.4027
3 Sm 0.2500 0.1368 0.8602
4 Ge 0.7500 0.8467 0.8073
5 Ge 0.7500 0.7460 0.4393
6 Ag 0.7500 0.5168 0.9027
7 Ag 0.2500 0.4832 0.0973
8 Ge 0.7500 0.3467 0.6927
9 Ge 0.2500 0.6533 0.3073
10 Sm 0.7500 0.3632 0.3602
11 Sm 0.2500 0.6368 0.6398
12 Ge 0.2500 0.7540 0.9393
13 Ge 0.2500 0.1533 0.1927
14 Ge 0.2500 0.2540 0.5607
15 Sm 0.7500 0.8632 0.1398
16 Ag 0.7500 0.0168 0.5973

Results
**Energy of formation from the pure elements**: -444 meV per atom
**Volume**: 21.27 A^3/atom
**N(E_F)**: 0.34 states/eV per atom
**Energy**: -4.645 eV/atom

(5)
Compound: Sm2AgGe2
Source: Alexandria
Functional: GGA-PBE
Structure: relaxed

Lattice parameters (Å, degrees): 7.2620 7.2620 8.7612 90.00 90.00 90.00
Atoms (fractional coordinates):
1 Ag 0.5000 0.5000 0.2497
2 Ag 0.0000 0.0000 0.2503
3 Ge 0.3750 0.8750 0.7500
4 Ge 0.1250 0.3750 0.7500
5 Sm 0.3236 0.1765 0.5000
6 Sm 0.8235 0.3236 0.5000
7 Sm 0.6765 0.8236 0.0000
8 Ge 0.6250 0.1250 0.2500
9 Ag 0.5000 0.5000 0.7503
10 Ge 0.1250 0.3750 0.2500
11 Ge 0.3750 0.8750 0.2500
12 Ag 0.0000 0.0000 0.7497
13 Ge 0.8750 0.6250 0.2500
14 Sm 0.6764 0.8235 0.5000
15 Sm 0.1765 0.6764 0.5000
16 Sm 0.3235 0.1764 0.0000
17 Sm 0.1764 0.6765 0.0000
18 Ge 0.8750 0.6250 0.7500
19 Sm 0.8236 0.3235 0.0000
20 Ge 0.6250 0.1250 0.7500

Results
**Energy of formation from the pure elements**: -700 meV per atom
**Volume**: 23.10 A^3/atom
**N(E_F)**: 0.49 states/eV per atom
**Energy**: -5.004 eV/atom

(6)
Compound: SmAgGe2
Source: Alexandria
Functional: GGA-PBE
Structure: relaxed

Lattice parameters (Å, degrees): 4.1960 4.4600 4.4600 90.00 90.00 90.00
Atoms (fractional coordinates):
1 Ag 0.5000 0.5000 0.5000
2 Ge 0.0000 0.0000 0.5000
3 Sm 0.5000 0.0000 0.0000
4 Ge 0.0000 0.5000 0.0000

Results
**Energy of formation from the pure elements**: -399 meV per atom
**Volume**: 20.87 A^3/atom
**N(E_F)**: 0.24 states/eV per atom
**Energy**: -4.600 eV/atom